The following is a DFT calculation (PBE) of MnSiPCl2 after structural relaxation.

Results
Magnetic moment, μB/cell: 4.8
ρ, g cm⁻³: 2.946
DOS at the Fermi energy, states/eV per atom: 0.285
ΔE to the lowest computed polymorph, eV/atom: 0.000
Uncorrected energy, eV/cell: -22.36

a = 4.613 Å, b = 4.613 Å, c = 4.898 Å
α = 90.00°, β = 90.00°, γ = 90.00°
Each line ends with the local moment (μB).
Fractional positions:
Cl  0.000  0.500  0.000  0.02
Cl  0.500  0.000  0.000  0.02
P  0.000  0.000  0.500  -0.06
Si  0.000  0.000  0.000  -0.02
Mn  0.500  0.500  0.500  4.50


The following is a DFT calculation (PBE) of Ga3NF after structural relaxation.

Results
Magnetic moment, μB/cell: 0.0
ρ, g cm⁻³: 4.627
DOS at the Fermi energy, states/eV per atom: 0.444
ΔE to the lowest computed polymorph, eV/atom: 0.000
Uncorrected energy, eV/cell: -18.70

a = 4.430 Å, b = 4.430 Å, c = 4.430 Å
α = 90.00°, β = 90.00°, γ = 90.00°
Fractional positions:
Ga  0.000  0.000  0.500
Ga  0.500  0.000  0.000
Ga  0.000  0.500  0.000
N  0.000  0.000  0.000
F  0.500  0.500  0.500


The following is a DFT calculation (PBE) of BiHS2Cl after structural relaxation.

Results
Magnetic moment, μB/cell: 2.6
ρ, g cm⁻³: 3.290
DOS at the Fermi energy, states/eV per atom: 1.147
ΔE to the lowest computed polymorph, eV/atom: 0.294
Uncorrected energy, eV/cell: -14.00

a = 5.328 Å, b = 5.328 Å, c = 5.503 Å
α = 90.00°, β = 90.00°, γ = 90.00°
Each line ends with the local moment (μB).
Fractional positions:
H  0.500  0.500  0.500  0.38
Cl  0.000  0.000  0.500  0.06
S  0.500  0.000  0.000  0.47
S  0.000  0.500  0.000  0.47
Bi  0.000  0.000  0.000  -0.03